No. 1
# KNaReS4

Crystalline KNaReS4 at its relaxed geometry (PBE-GGA, the Alexandria database).

a = 6.7620 Å, b = 6.8925 Å, c = 8.6973 Å
α = 90.00°, β = 107.40°, γ = 90.00°
Space group P2_1/m (No. 11)
Unique sites:
K 0.2259 0.2500 0.4304 x2
Na 0.2662 0.2500 0.9486 x2
Re 0.2883 0.7500 0.1865 x2
S 0.0922 0.7500 0.3476 x2
S 0.1036 0.7500 0.9345 x2
S 0.4938 0.0033 0.2318 x4

Summary:
**Size of the total moment**: 1.7 Bohr magnetons per cell
**Uncorrected energy**: -5.18 eV/atom

***

No. 2
# K2NaReS4

Crystalline K2NaReS4 at its relaxed geometry (PBE-GGA, the Alexandria database).

a = 7.6356 Å, b = 7.6356 Å, c = 8.1970 Å
α = 90.00°, β = 90.00°, γ = 90.00°
Space group I-4 (No. 82)
Unique sites:
K 0.0000 0.0000 0.0000 x2
K 0.0000 0.5000 0.2500 x2
Na 0.0000 0.0000 0.5000 x2
Re 0.0000 0.5000 0.7500 x2
S 0.1526 0.3110 0.5980 x8

Summary:
**Size of the total moment**: 4.0 Bohr magnetons per cell
**Uncorrected energy**: -4.84 eV/atom

***

No. 3
# KNaTl2Re

Crystalline KNaTl2Re at its relaxed geometry (PBE-GGA, the Alexandria database).

a = 5.3723 Å, b = 5.3723 Å, c = 5.7399 Å
α = 90.00°, β = 90.00°, γ = 90.00°
Space group P4/mmm (No. 123)
Unique sites:
K 0.0000 0.0000 0.0000 x1
Na 0.5000 0.5000 0.0000 x1
Tl 0.0000 0.5000 0.5000 x2
Re 0.5000 0.5000 0.5000 x1

Summary:
**Size of the total moment**: 1.0 Bohr magnetons per cell
**Uncorrected energy**: -3.32 eV/atom

***

size of the total moment of number 1 (KNaReS4)? 1.7 Bohr magnetons per cell

***

What did the second record say?
# K2NaReS4

Crystalline K2NaReS4 at its relaxed geometry (PBE-GGA, the Alexandria database).

a = 7.6356 Å, b = 7.6356 Å, c = 8.1970 Å
α = 90.00°, β = 90.00°, γ = 90.00°
Space group I-4 (No. 82)
Unique sites:
K 0.0000 0.0000 0.0000 x2
K 0.0000 0.5000 0.2500 x2
Na 0.0000 0.0000 0.5000 x2
Re 0.0000 0.5000 0.7500 x2
S 0.1526 0.3110 0.5980 x8

Summary:
**Size of the total moment**: 4.0 Bohr magnetons per cell
**Uncorrected energy**: -4.84 eV/atom

***

Which of these has the highest uncorrected energy? KNaTl2Re

***

Among the records above, which one has the lowest uncorrected energy? KNaReS4